Below is RbNaOs2 after structural relaxation, with properties calculated at the PBE-GGA level.

Lattice parameters (Å, degrees): 8.988 8.988 6.800 48.63 48.63 90.00
Sites, in units of the cell vectors:
Na 0.500 0.500 0.000
Na 0.250 0.750 0.500
Os 0.594 0.125 0.250
Os 0.156 0.625 0.250
Os 0.375 0.406 0.750
Os 0.875 0.844 0.750
Rb 0.000 0.000 0.000
Rb 0.750 0.250 0.500

Computed properties:
- Calculated density: 8.3 g cm⁻³
- DFT total energy: -4.308 eV per atom
- ΔH_f (0 K): 1.8783 eV/atom

Below is Rb2NaOs after structural relaxation, with properties calculated at the PBE-GGA level.

Lattice parameters (Å, degrees): 5.982 5.982 5.982 60.00 60.00 60.00
Sites, in units of the cell vectors:
Na 0.000 0.000 0.000
Os 0.500 0.500 0.500
Rb 0.250 0.250 0.250
Rb 0.750 0.750 0.750

Computed properties:
- Calculated density: 4.2 g cm⁻³
- DFT total energy: -2.234 eV per atom
- ΔH_f (0 K): 1.3870 eV/atom

Below is RbNa3Os after structural relaxation, with properties calculated at the PBE-GGA level.

Lattice parameters (Å, degrees): 5.839 5.839 5.839 90.00 90.00 90.00
Sites, in units of the cell vectors:
Na 0.000 0.500 0.000
Na 0.000 0.000 0.500
Na 0.500 0.000 0.000
Os 0.000 0.000 0.000
Rb 0.500 0.500 0.500

Computed properties:
- Calculated density: 2.9 g cm⁻³
- DFT total energy: -2.182 eV per atom
- ΔH_f (0 K): 1.0491 eV/atom

Below is RbNa3Os after structural relaxation, with properties calculated at the PBE-GGA level.

Lattice parameters (Å, degrees): 5.792 5.792 5.792 90.00 90.00 90.00
Sites, in units of the cell vectors:
Na 0.000 0.500 0.000
Na 0.000 0.000 0.500
Na 0.500 0.000 0.000
Os 0.500 0.500 0.500
Rb 0.000 0.000 0.000

Computed properties:
- Calculated density: 2.9 g cm⁻³
- DFT total energy: -1.421 eV per atom
- ΔH_f (0 K): 1.8097 eV/atom

Below is RbNaOs2 after structural relaxation, with properties calculated at the PBE-GGA level.

Lattice parameters (Å, degrees): 4.962 4.962 4.962 60.00 60.00 60.00
Sites, in units of the cell vectors:
Na 0.000 0.000 0.000
Os 0.250 0.250 0.250
Os 0.750 0.750 0.750
Rb 0.500 0.500 0.500

Computed properties:
- Calculated density: 9.4 g cm⁻³
- DFT total energy: -3.644 eV per atom
- ΔH_f (0 K): 2.5427 eV/atom

Below is Rb2NaOs after structural relaxation, with properties calculated at the PBE-GGA level.

Lattice parameters (Å, degrees): 4.973 4.973 12.296 78.33 78.33 90.00
Sites, in units of the cell vectors:
Na 0.500 0.500 0.000
Na 0.250 0.750 0.500
Os 0.000 0.000 0.000
Os 0.750 0.250 0.500
Rb 0.637 0.125 0.250
Rb 0.113 0.625 0.250
Rb 0.375 0.363 0.750
Rb 0.875 0.887 0.750

Computed properties:
- Calculated density: 4.4 g cm⁻³
- DFT total energy: -2.072 eV per atom
- ΔH_f (0 K): 1.5491 eV/atom

Below is RbNaTc2Os after structural relaxation, with properties calculated at the PBE-GGA level.

Lattice parameters (Å, degrees): 4.765 5.793 4.765 90.00 90.00 90.00
Sites, in units of the cell vectors:
Na 0.000 0.500 0.000
Os 0.000 0.000 0.000
Tc 0.000 0.000 0.500
Tc 0.500 0.000 0.000
Rb 0.500 0.500 0.500

Computed properties:
- Calculated density: 6.2 g cm⁻³
- DFT total energy: -5.558 eV per atom
- ΔH_f (0 K): 1.2914 eV/atom

Below is NaRe2Os after structural relaxation, with properties calculated at the PBE-GGA level.

Lattice parameters (Å, degrees): 7.512 7.512 5.921 50.63 50.63 90.00
Sites, in units of the cell vectors:
Re 0.686 0.125 0.250
Re 0.064 0.625 0.250
Re 0.375 0.314 0.750
Re 0.875 0.936 0.750
Os 0.000 0.000 0.000
Os 0.750 0.250 0.500
Na 0.500 0.500 0.000
Na 0.250 0.750 0.500

Computed properties:
- Calculated density: 13.2 g cm⁻³
- DFT total energy: -8.141 eV per atom
- ΔH_f (0 K): 1.2206 eV/atom